No. 1
# PaNi6H12

A relaxed PaNi6H12 crystal (PBE-GGA, Alexandria).

Computed properties:
Relative energy among the computed polymorphs: 1.96 eV per formula unit
Total energy: -4.4110 eV/atom

extended XYZ file:
```
19
Lattice="-4.292 0.482 3.157 -0.128 -4.986 -1.936 4.258 0.233 3.231" Properties=species:S:1:pos:R:3 pbc="T T T"
Pa 0.000 0.000 0.000
Ni -1.732 -0.763 2.241
Ni 1.645 -0.861 2.270
Ni -0.087 -2.923 0.229
Ni -1.808 -3.409 2.182
Ni 1.569 -3.508 2.211
Ni -0.076 -1.348 4.223
H -1.621 -0.113 4.109
H -1.142 -2.280 3.272
H 0.950 -2.341 3.291
H -0.040 -0.653 2.425
H -1.113 -1.929 1.162
H 0.979 -1.990 1.180
H 3.080 -2.227 2.254
H -1.703 -4.065 0.315
H 1.458 -4.157 0.343
H -3.243 -2.043 2.199
H 1.540 -0.205 4.137
H -0.123 -3.618 2.027
```

***

No. 2
# FeNi2HPt

A relaxed FeNi2HPt crystal (PBE-GGA, Alexandria).

Computed properties:
Relative energy among the computed polymorphs: 0.00 eV per formula unit
Total energy: -5.9780 eV/atom

extended XYZ file:
```
5
Lattice="3.685 0.000 0.000 0.000 3.685 0.000 0.000 0.000 3.817" Properties=species:S:1:pos:R:3 pbc="T T T"
Ni 0.000 1.842 0.000
Ni 1.842 0.000 0.000
Fe 0.000 0.000 1.908
Pt 1.842 1.842 1.908
H 0.000 0.000 0.000
```

***

total energy of number 1 (PaNi6H12)?
-4.4110 eV/atom